Below is an optimized crystal structure of CsMg3S, with properties calculated at the PBE level.

Values from the calculation:
DOS(E_F)	2.760	states/eV per atom
E_form (uncorrected)	1.175	eV per atom
relative energy among the computed polymorphs	1014.2	meV/atom
uncorrected energy	-0.778	eV per atom

Geometry as CIF:
```
data_CsMg3S
_symmetry_space_group_name_H-M 'P m -3 m'
_symmetry_Int_Tables_number 221
_symmetry_space_group_name_Hall '-P 4 2 3'
_cell_length_a 7.4701
_cell_length_b 7.4701
_cell_length_c 7.4701
_cell_angle_alpha 90.00
_cell_angle_beta 90.00
_cell_angle_gamma 90.00
loop_
_atom_site_label
_atom_site_type_symbol
_atom_site_fract_x
_atom_site_fract_y
_atom_site_fract_z
_atom_site_occupancy
Cs1 Cs 0.0000 0.0000 0.0000 1
Mg1 Mg 0.0000 0.0000 0.5000 1
S1 S 0.5000 0.5000 0.5000 1
```


Below is an optimized crystal structure of Co2PbSe, with properties calculated at the PBE level.

Values from the calculation:
DOS(E_F)	1.235	states/eV per atom
E_form (uncorrected)	0.266	eV per atom
relative energy among the computed polymorphs	208.0	meV/atom
uncorrected energy	-5.085	eV per atom

Geometry as CIF:
```
data_Co2PbSe
_symmetry_space_group_name_H-M 'I -4 2 d'
_symmetry_Int_Tables_number 122
_symmetry_space_group_name_Hall 'I -4 2bw'
_cell_length_a 4.5468
_cell_length_b 4.5468
_cell_length_c 15.0574
_cell_angle_alpha 90.00
_cell_angle_beta 90.00
_cell_angle_gamma 90.00
loop_
_atom_site_label
_atom_site_type_symbol
_atom_site_fract_x
_atom_site_fract_y
_atom_site_fract_z
_atom_site_occupancy
Co1 Co 0.1235 0.2500 0.1250 1
Pb1 Pb 0.0000 0.0000 0.5000 1
Se1 Se 0.0000 0.0000 0.0000 1
```


Below is an optimized crystal structure of Rb3SrZn, with properties calculated at the PBE level.

Values from the calculation:
ΔH_f (0 K)	230	meV per atom
DOS(E_F)	0.745	states/eV per atom
relative energy among the computed polymorphs	0.0	meV/atom
uncorrected energy	-0.941	eV per atom

Geometry as CIF:
```
data_Rb3SrZn
_symmetry_space_group_name_H-M 'P m -3 m'
_symmetry_Int_Tables_number 221
_symmetry_space_group_name_Hall '-P 4 2 3'
_cell_length_a 7.0098
_cell_length_b 7.0098
_cell_length_c 7.0098
_cell_angle_alpha 90.00
_cell_angle_beta 90.00
_cell_angle_gamma 90.00
loop_
_atom_site_label
_atom_site_type_symbol
_atom_site_fract_x
_atom_site_fract_y
_atom_site_fract_z
_atom_site_occupancy
Rb1 Rb 0.0000 0.0000 0.5000 1
Sr1 Sr 0.5000 0.5000 0.5000 1
Zn1 Zn 0.0000 0.0000 0.0000 1
```


Below is an optimized crystal structure of Ni3PdN, with properties calculated at the PBE level.

Values from the calculation:
DOS(E_F)	1.423	states/eV per atom
E_form (uncorrected)	0.225	eV per atom
uncorrected energy	-5.948	eV per atom

Geometry as CIF:
```
data_Ni3PdN
_symmetry_space_group_name_H-M 'C 1 2/m 1'
_symmetry_Int_Tables_number 12
_symmetry_space_group_name_Hall '-C 2y'
_cell_length_a 14.0002
_cell_length_b 2.6806
_cell_length_c 6.3787
_cell_angle_alpha 90.00
_cell_angle_beta 99.05
_cell_angle_gamma 90.00
loop_
_atom_site_label
_atom_site_type_symbol
_atom_site_fract_x
_atom_site_fract_y
_atom_site_fract_z
_atom_site_occupancy
Ni1 Ni 0.0212 0.0000 0.1970 1
Ni2 Ni 0.1079 0.0000 0.5616 1
Ni3 Ni 0.2129 0.5000 0.3164 1
Pd1 Pd 0.1625 0.0000 0.9555 1
N1 N 0.0897 0.5000 0.3583 1
```


Q: Among the records above, which one has the lowest uncorrected energy?
A: Ni3PdN


Repeat the fourth record exactly.
Below is an optimized crystal structure of Ni3PdN, with properties calculated at the PBE level.

Values from the calculation:
DOS(E_F)	1.423	states/eV per atom
E_form (uncorrected)	0.225	eV per atom
uncorrected energy	-5.948	eV per atom

Geometry as CIF:
```
data_Ni3PdN
_symmetry_space_group_name_H-M 'C 1 2/m 1'
_symmetry_Int_Tables_number 12
_symmetry_space_group_name_Hall '-C 2y'
_cell_length_a 14.0002
_cell_length_b 2.6806
_cell_length_c 6.3787
_cell_angle_alpha 90.00
_cell_angle_beta 99.05
_cell_angle_gamma 90.00
loop_
_atom_site_label
_atom_site_type_symbol
_atom_site_fract_x
_atom_site_fract_y
_atom_site_fract_z
_atom_site_occupancy
Ni1 Ni 0.0212 0.0000 0.1970 1
Ni2 Ni 0.1079 0.0000 0.5616 1
Ni3 Ni 0.2129 0.5000 0.3164 1
Pd1 Pd 0.1625 0.0000 0.9555 1
N1 N 0.0897 0.5000 0.3583 1
```


Q: Among the records above, which one has the highest uncorrected energy?
A: CsMg3S